# 1
An optimized crystal structure of LiTh2BePt6, computed with PBE.

Lattice parameters (Å, degrees): 5.7205 7.3361 7.3359 45.90 67.05 90.00
Closest atoms and distances in Å follow each position.
Sites, in units of the cell vectors:
Th  0.2841  0.7161  0.4319  9 Pt 2.99-3.28
Pt  0.7433  0.2570  0.0240  1 Be 2.21, 1 Li 2.45
Li  0.0000  0.0000  0.0000  6 Pt 2.45
Pt  0.7432  0.7677  0.5135  1 Be 2.21, 1 Li 2.45
Pt  0.2568  0.2323  0.4865  1 Be 2.21, 1 Li 2.45
Be  0.5000  0.5000  0.0000  6 Pt 2.21
Pt  0.2326  0.2570  0.0240  1 Be 2.21, 1 Li 2.45
Th  0.7160  0.2839  0.5681  9 Pt 2.99-3.28
Pt  0.7673  0.7430  0.9760  1 Be 2.21, 1 Li 2.45
Pt  0.2567  0.7430  0.9760  1 Be 2.21, 1 Li 2.45

Values from the calculation:
Crystal system: trigonal
Space-group type: No. 166



# 2
An optimized crystal structure of Ac2LaB3Pt12, computed with PBE.

Lattice parameters (Å, degrees): 7.7743 7.7743 7.7743 62.12 62.12 62.12
Closest atoms and distances in Å follow each position.
Sites, in units of the cell vectors:
Pt  0.8650  0.8650  0.4190  1 B 2.21
B  0.5000  0.0000  0.0000  6 Pt 2.15-2.21
Pt  0.3178  0.9128  0.3178  2 B 2.15
Pt  0.6822  0.6822  0.0872  2 B 2.15
Pt  0.9128  0.3178  0.3178  2 B 2.15
B  0.0000  0.5000  0.0000  6 Pt 2.15-2.21
B  0.0000  0.0000  0.5000  6 Pt 2.15-2.21
Pt  0.5810  0.1350  0.1350  1 B 2.21
Pt  0.0872  0.6822  0.6822  2 B 2.15
Ac  0.5986  0.5986  0.5986  6 Pt 3.02-3.16
Ac  0.4014  0.4014  0.4014  6 Pt 3.02-3.16
Pt  0.1350  0.1350  0.5810  1 B 2.21
Pt  0.4190  0.8650  0.8650  1 B 2.21
Pt  0.6822  0.0872  0.6822  2 B 2.15
Pt  0.1350  0.5810  0.1350  1 B 2.21
Pt  0.3178  0.3178  0.9128  2 B 2.15
Pt  0.8650  0.4190  0.8650  1 B 2.21
La  0.0000  0.0000  0.0000  6 Pt 2.73

Values from the calculation:
Crystal system: trigonal
Space-group type: No. 166



| no. | energy (Ry/atom) | size of the total moment (μB/atom) |
| --- | --- | --- |
| 1 | -0.484 | 0.00 |
| 2 | -0.465 | 0.00 |